1.
First-principles (PBE) data for a relaxed structure of TlCd2W, as listed in the Alexandria database.

Summary:
* DFT total energy: -12.92 eV for the cell shown
* mass density: 11.59 g cm⁻³
* V: 87.8 Å³/f.u.
* energy above the most stable polymorph in this dataset: 523 meV/atom
* magnetic moment: 2.88 μB/f.u.
* N(E_F): 2.5 states/eV/f.u.
* space group: Fm-3m, No. 225

The structure in POSCAR format:
```
TlCd2W
1.0
0.0000 3.5282 3.5282
3.5282 0.0000 3.5282
3.5282 3.5282 0.0000
Tl Cd W
1 2 1
direct
0.0000 0.0000 0.0000
0.2500 0.2500 0.2500
0.7500 0.7500 0.7500
0.5000 0.5000 0.5000
```


2.
First-principles (PBE) data for a relaxed structure of TiAgBr, as listed in the Alexandria database.

Summary:
* DFT total energy: -26.49 eV for the cell shown
* mass density: 5.80 g cm⁻³
* V: 67.5 Å³/f.u.
* magnetic moment: 0.00 μB/f.u.
* N(E_F): 1.2 states/eV/f.u.
* space group: P-6m2, No. 187

The structure in POSCAR format:
```
TiAgBr
1.0
3.2546 0.0000 0.0000
-1.6273 2.8185 0.0000
0.0000 0.0000 14.7082
Ti Ag Br
2 2 2
direct
0.0000 0.0000 0.0000
0.3333 0.6667 0.5000
0.3333 0.6667 0.1426
0.3333 0.6667 0.8574
0.0000 0.0000 0.3804
0.0000 0.0000 0.6196
```


3.
First-principles (PBE) data for a relaxed structure of Ho6Mg7, as listed in the Alexandria database.

Summary:
* DFT total energy: -38.95 eV for the cell shown
* mass density: 5.50 g cm⁻³
* V: 350.1 Å³/f.u.
* magnetic moment: 0.95 μB/f.u.
* N(E_F): 15.7 states/eV/f.u.
* space group: R-3m, No. 166

The structure in POSCAR format:
```
Ho6Mg7
1.0
2.9950 1.7292 11.2669
-2.9950 1.7292 11.2669
0.0000 -3.4583 11.2669
Ho Mg
6 7
direct
0.0472 0.0472 0.0472
0.1513 0.1513 0.1513
0.3342 0.3342 0.3342
0.6658 0.6658 0.6658
0.8487 0.8487 0.8487
0.9528 0.9528 0.9528
0.0888 0.5944 0.5944
0.4056 0.4056 0.9112
0.4056 0.9112 0.4056
0.5000 0.5000 0.5000
0.5944 0.0888 0.5944
0.5944 0.5944 0.0888
0.9112 0.4056 0.4056
```


4.
First-principles (PBE) data for a relaxed structure of Sm2Ho3Er7, as listed in the Alexandria database.

Summary:
* DFT total energy: -54.13 eV for the cell shown
* mass density: 8.66 g cm⁻³
* V: 377.2 Å³/f.u.
* energy above the most stable polymorph in this dataset: 0 meV/atom
* magnetic moment: 0.00 μB/f.u.
* N(E_F): 17.4 states/eV/f.u.
* space group: P2/m, No. 10

The structure in POSCAR format:
```
Sm2Ho3Er7
1.0
6.2803 0.0000 0.0000
0.0000 3.4920 0.0000
-1.8742 0.0000 17.1985
Sm Ho Er
2 3 7
direct
0.0603 0.0000 0.1738
0.9397 0.0000 0.8262
0.4511 0.5000 0.8426
0.5000 0.0000 0.5000
0.5489 0.5000 0.1574
0.0000 0.5000 0.5000
0.2275 0.0000 0.6666
0.2556 0.0000 0.9989
0.2740 0.5000 0.3365
0.7260 0.5000 0.6635
0.7444 0.0000 0.0011
0.7725 0.0000 0.3334
```


5.
First-principles (PBE) data for a relaxed structure of GaBiRh, as listed in the Alexandria database.

Summary:
* DFT total energy: -29.21 eV for the cell shown
* mass density: 10.12 g cm⁻³
* V: 62.6 Å³/f.u.
* energy above the most stable polymorph in this dataset: 120 meV/atom
* magnetic moment: 0.00 μB/f.u.
* N(E_F): 1.8 states/eV/f.u.
* space group: P-6m2, No. 187

The structure in POSCAR format:
```
GaBiRh
1.0
3.4024 0.0000 0.0000
-1.7012 2.9465 0.0000
0.0000 0.0000 12.4957
Ga Bi Rh
2 2 2
direct
0.0000 0.0000 0.1295
0.0000 0.0000 0.8705
0.6667 0.3333 0.3392
0.6667 0.3333 0.6608
0.3333 0.6667 0.0000
0.3333 0.6667 0.5000
```


6.
First-principles (PBE) data for a relaxed structure of K2YP, as listed in the Alexandria database.

Summary:
* DFT total energy: -13.46 eV for the cell shown
* mass density: 2.43 g cm⁻³
* V: 135.1 Å³/f.u.
* magnetic moment: 0.32 μB/f.u.
* N(E_F): 2.4 states/eV/f.u.
* space group: P4/mmm, No. 123

The structure in POSCAR format:
```
K2YP
1.0
4.8337 0.0000 0.0000
0.0000 4.8337 0.0000
0.0000 0.0000 5.7814
K Y P
2 1 1
direct
0.0000 0.0000 0.2326
0.0000 0.0000 0.7674
0.5000 0.5000 0.5000
0.5000 0.5000 0.0000
```


Question: Which value of magnetic moment does entry 2 give?
Answer: 0.00 μB/f.u.


Question: What is the formula in the third record?
Answer: Ho6Mg7


Question: Which value of DFT total energy does entry 1 give?
Answer: -12.92 eV for the cell shown


Question: Among the records above, which one has the lowest N(E_F)?
Answer: TiAgBr